A plane-wave DFT calculation with GGA-PBE was carried out for a relaxed BaLi2Te crystal.

CIF file:
```
data_BaLi2Te
_chemical_formula_sum 'Ba2 Li4 Te2'
_space_group_name_H-M_alt 'I m m m'
_space_group_IT_number 71
_space_group_name_Hall '-I 2 2'
_cell_length_a 4.049
_cell_length_b 5.784
_cell_length_c 11.429
_cell_angle_alpha 90.00
_cell_angle_beta 90.00
_cell_angle_gamma 90.00
loop_
_atom_site_label
_atom_site_fract_x
_atom_site_fract_y
_atom_site_fract_z
Ba1 0.000 0.000 0.000
Li1 0.000 0.500 0.190
Te1 0.000 0.000 0.500
```

Values from the calculation:
Formation energy from raw total energies in eV/f.u.: -2.24


A plane-wave DFT calculation with GGA-PBE was carried out for a relaxed In2BiPtS crystal.

CIF file:
```
data_In2BiPtS
_chemical_formula_sum 'In2 Bi1 Pt1 S1'
_space_group_name_H-M_alt 'P 4 m m'
_space_group_IT_number 99
_cell_length_a 5.163
_cell_length_b 5.163
_cell_length_c 5.501
_cell_angle_alpha 90.00
_cell_angle_beta 90.00
_cell_angle_gamma 90.00
loop_
_space_group_symop_operation_xyz
'x,y,z'
'-y,x,z'
'-x,-y,z'
'y,-x,z'
'-x,y,z'
'y,x,z'
'x,-y,z'
'-y,-x,z'
loop_
_atom_site_label
_atom_site_fract_x
_atom_site_fract_y
_atom_site_fract_z
In1 0.000 0.500 0.000
Bi1 0.000 0.000 0.576
Pt1 0.000 0.000 0.104
S1 0.500 0.500 0.741
```

Values from the calculation:
Formation energy from raw total energies in eV/f.u.: -0.32


A plane-wave DFT calculation with GGA-PBE was carried out for a relaxed Ho2TeSe crystal.

CIF file:
```
data_Ho2TeSe
_chemical_formula_sum 'Ho8 Te4 Se4'
_space_group_name_H-M_alt 'P 1 2/c 1'
_space_group_IT_number 13
_cell_length_a 5.806
_cell_length_b 6.263
_cell_length_c 13.004
_cell_angle_alpha 90.00
_cell_angle_beta 116.52
_cell_angle_gamma 90.00
loop_
_space_group_symop_operation_xyz
'x,y,z'
'-x,-y,-z'
'-x,y,-z+1/2'
'x,-y,z+1/2'
loop_
_atom_site_label
_atom_site_fract_x
_atom_site_fract_y
_atom_site_fract_z
Ho1 0.117 0.192 0.115
Ho2 0.368 0.190 0.868
Te1 0.372 0.302 0.373
Se1 0.126 0.269 0.626
```

Values from the calculation:
ΔE to the lowest computed polymorph in eV per formula unit: 0.31
Formation energy from raw total energies in eV/f.u.: -5.83


A plane-wave DFT calculation with GGA-PBE was carried out for a relaxed Pm3In2SiRu3 crystal.

CIF file:
```
data_Pm3In2SiRu3
_chemical_formula_sum 'Pm3 In2 Si1 Ru3'
_space_group_name_H-M_alt 'P -6 2 m'
_space_group_IT_number 189
_space_group_name_Hall 'P -6 -2'
_cell_length_a 7.8421
_cell_length_b 7.8421
_cell_length_c 3.6154
_cell_angle_alpha 90.00
_cell_angle_beta 90.00
_cell_angle_gamma 120.00
loop_
_atom_site_label
_atom_site_fract_x
_atom_site_fract_y
_atom_site_fract_z
Pm1 0.0000 0.6348 0.0000
In1 0.3333 0.6667 0.5000
Si1 0.0000 0.0000 0.0000
Ru1 0.0000 0.2224 0.5000
```

Values from the calculation:
Formation energy from raw total energies in eV/f.u.: -3.27


A plane-wave DFT calculation with GGA-PBE was carried out for a relaxed KAg3Bi3 crystal.

CIF file:
```
data_KAg3Bi3
_chemical_formula_sum 'K6 Ag18 Bi18'
_space_group_name_H-M_alt 'R -3'
_space_group_IT_number 148
_space_group_name_Hall '-R 3'
_cell_length_a 7.0288
_cell_length_b 7.0288
_cell_length_c 29.9694
_cell_angle_alpha 90.00
_cell_angle_beta 90.00
_cell_angle_gamma 120.00
loop_
_atom_site_label
_atom_site_fract_x
_atom_site_fract_y
_atom_site_fract_z
K1 0.0000 0.0000 0.1901
Ag1 0.0367 0.2540 0.6883
Bi1 0.0195 0.5782 0.7462
```

Values from the calculation:
ΔE to the lowest computed polymorph in eV per formula unit: 0.00


A plane-wave DFT calculation with GGA-PBE was carried out for a relaxed Ho2TiIn crystal.

CIF file:
```
data_Ho2TiIn
_chemical_formula_sum 'Ho2 Ti1 In1'
_space_group_name_H-M_alt 'P 4/m m m'
_space_group_IT_number 123
_space_group_name_Hall '-P 4 2'
_cell_length_a 3.476
_cell_length_b 3.476
_cell_length_c 8.353
_cell_angle_alpha 90.00
_cell_angle_beta 90.00
_cell_angle_gamma 90.00
loop_
_atom_site_label
_atom_site_fract_x
_atom_site_fract_y
_atom_site_fract_z
Ho1 0.000 0.000 0.244
Ti1 0.500 0.500 0.000
In1 0.500 0.500 0.500
```

Values from the calculation:
ΔE to the lowest computed polymorph in eV per formula unit: 0.06


A plane-wave DFT calculation with GGA-PBE was carried out for a relaxed HfPRuS2 crystal.

CIF file:
```
data_HfPRuS2
_chemical_formula_sum 'Hf1 P1 Ru1 S2'
_space_group_name_H-M_alt 'P 4/m m m'
_space_group_IT_number 123
_space_group_name_Hall '-P 4 2'
_cell_length_a 4.666
_cell_length_b 4.666
_cell_length_c 4.377
_cell_angle_alpha 90.00
_cell_angle_beta 90.00
_cell_angle_gamma 90.00
loop_
_atom_site_label
_atom_site_fract_x
_atom_site_fract_y
_atom_site_fract_z
Hf1 0.000 0.000 0.000
P1 0.500 0.500 0.000
Ru1 0.500 0.500 0.500
S1 0.000 0.500 0.500
```

Values from the calculation:
ΔE to the lowest computed polymorph in eV per formula unit: 0.00
Formation energy from raw total energies in eV/f.u.: 1.45


A plane-wave DFT calculation with GGA-PBE was carried out for a relaxed CsBa2NaRh crystal.

CIF file:
```
data_CsBa2NaRh
_chemical_formula_sum 'Cs1 Ba2 Na1 Rh1'
_space_group_name_H-M_alt 'P 4/m m m'
_space_group_IT_number 123
_space_group_name_Hall '-P 4 2'
_cell_length_a 6.060
_cell_length_b 6.060
_cell_length_c 6.520
_cell_angle_alpha 90.00
_cell_angle_beta 90.00
_cell_angle_gamma 90.00
loop_
_atom_site_label
_atom_site_fract_x
_atom_site_fract_y
_atom_site_fract_z
Cs1 0.000 0.000 0.000
Ba1 0.000 0.500 0.500
Na1 0.500 0.500 0.000
Rh1 0.500 0.500 0.500
```

Values from the calculation:
ΔE to the lowest computed polymorph in eV per formula unit: 0.00


Calculated values (eV per cell) of uncorrected energy for the records, taken in order: -22.268 -19.846 -86.456 -56.250 -129.172 -20.193 -31.444 -13.088.